The following is a DFT calculation (PBE) of crystalline TaHgPd3 at its relaxed geometry.

Geometry as POSCAR:
```
TaHgPd3
1.0
-2.925 3.552 1.631
-2.520 -0.156 -4.179
-2.988 -3.346 1.926
Ta Pd Hg
1 3 1
Direct
0.000 0.000 0.000
0.500 0.000 0.000
0.000 0.500 0.000
0.000 0.000 0.500
0.500 0.500 0.500
```

Calculated values
- Uncorrected energy: -4.72 eV/atom
- Density of states at the Fermi level: 1.164 states/eV/atom